# Zr2BiTe2

A geometry-optimized Zr2BiTe2 structure (PBE-GGA, the Open Quantum Materials Database).

## Properties
Raw total energy   -5.6758 eV/atom

Cell lengths 4.5607, 4.5607, 13.4559 Å; angles 90.00, 90.00, 90.00 degrees
Space group I4/mmm (No. 139)
Asymmetric unit:
Zr: 0.0000 0.0000 0.1143 [4 per cell]
Bi: 0.0000 0.0000 0.5000 [2 per cell]
Te: 0.0000 0.5000 0.2500 [4 per cell]